Record 1
{"formula": "LiTlSbPd", "functional": "PBE", "state": "optimized geometry", "cell": [[4.856, 0.000, 0.000], [2.428, 4.205, 0.000], [2.428, 1.402, 3.965]], "species": ["Sb", "Pd", "Li", "Tl"], "fractional_positions": [[0.750, 0.750, 0.750], [0.500, 0.500, 0.500], [0.000, 0.000, 0.000], [0.250, 0.250, 0.250]], "e_tot_ev_per_cell": -14.70, "e_form_raw_mev_per_atom": -276, "m_tot_mub_per_cell": 0.00}

Record 2
{"formula": "Ti3TlO6", "functional": "PBE", "state": "optimized geometry", "cell": [[-1.046, -1.845, 2.079], [8.434, -4.189, 0.526], [-0.246, 7.248, 6.309]], "species": ["O", "O", "O", "O", "O", "O", "O", "O", "O", "O", "O", "O", "Ti", "Ti", "Ti", "Ti", "Ti", "Ti", "Tl", "Tl"], "fractional_positions": [[0.750, 0.549, 0.413], [0.250, 0.688, 0.179], [0.750, 0.312, 0.821], [0.250, 0.046, 0.762], [0.250, 0.246, 0.315], [0.750, 0.117, 0.048], [0.250, 0.451, 0.587], [0.750, 0.954, 0.238], [0.250, 0.883, 0.952], [0.750, 0.191, 0.551], [0.750, 0.754, 0.685], [0.250, 0.809, 0.449], [0.750, 0.341, 0.455], [0.250, 0.217, 0.703], [0.250, 0.045, 0.149], [0.750, 0.783, 0.297], [0.250, 0.659, 0.545], [0.750, 0.955, 0.851], [0.250, 0.391, 0.109], [0.750, 0.609, 0.891]], "e_tot_ev_per_cell": -163.47, "e_form_raw_mev_per_atom": -2594, "m_tot_mub_per_cell": 1.64}

Record 3
{"formula": "ThAsPd2", "functional": "PBE", "state": "optimized geometry", "cell": [[4.313, 0.000, 0.000], [0.000, 4.366, 0.229], [0.000, -0.900, 4.492]], "species": ["Pd", "Pd", "As", "Th"], "fractional_positions": [[0.000, 0.202, 0.285], [0.000, 0.798, 0.715], [0.500, 0.000, 0.500], [0.500, 0.500, 0.000]], "e_tot_ev_per_cell": -25.31, "relative_energy_mev_per_atom": 35.3, "m_tot_mub_per_cell": 0.00}

Record 4
{"formula": "BaMoSN2", "functional": "PBE", "state": "optimized geometry", "cell": [[-2.612, -3.107, 0.759], [3.004, -2.720, -0.795], [1.310, 0.059, 4.749]], "species": ["Mo", "N", "N", "Ba", "S"], "fractional_positions": [[0.000, 0.000, 0.000], [0.500, 0.000, 0.000], [0.000, 0.500, 0.000], [0.500, 0.500, 0.500], [0.000, 0.000, 0.500]], "e_tot_ev_per_cell": -35.89, "e_form_raw_mev_per_atom": -472, "relative_energy_mev_per_atom": 0.0, "m_tot_mub_per_cell": 0.00}

Record 5
{"formula": "PrHo5Tl4", "functional": "PBE", "state": "optimized geometry", "cell": [[-0.182, 2.100, 2.917], [-2.007, -2.482, 1.662], [18.161, -9.397, 7.901]], "species": ["Ho", "Ho", "Ho", "Ho", "Ho", "Tl", "Tl", "Tl", "Tl", "Pr"], "fractional_positions": [[0.500, 0.500, 0.500], [0.500, 0.500, 0.308], [0.500, 0.500, 0.118], [0.500, 0.500, 0.882], [0.500, 0.500, 0.692], [0.000, 0.000, 0.404], [0.000, 0.000, 0.787], [0.000, 0.000, 0.596], [0.000, 0.000, 0.213], [0.000, 0.000, 0.000]], "e_tot_ev_per_cell": -39.77, "m_tot_mub_per_cell": 0.17}

Please write out number 3 again, unchanged.
{"formula": "ThAsPd2", "functional": "PBE", "state": "optimized geometry", "cell": [[4.313, 0.000, 0.000], [0.000, 4.366, 0.229], [0.000, -0.900, 4.492]], "species": ["Pd", "Pd", "As", "Th"], "fractional_positions": [[0.000, 0.202, 0.285], [0.000, 0.798, 0.715], [0.500, 0.000, 0.500], [0.500, 0.500, 0.000]], "e_tot_ev_per_cell": -25.31, "relative_energy_mev_per_atom": 35.3, "m_tot_mub_per_cell": 0.00}

Q: What is the formula in the second record?
A: Ti3TlO6